Computed, not measured: a relaxed TaCo23Ni6 crystal at the PBE level of DFT.

Properties
Size of the total moment   38.70 Bohr magnetons per cell
Energy relative to the elements   122 meV/atom

a b c (Å): 7.8672 7.8672 7.8672
angles (deg): 60.00 60.00 60.00
With the nearest neighbours (Å) after each atom.
Fractional coordinates of all 30 atoms:
Ta 0.0000 0.0000 0.0000  8 Co 2.70, 6 Ni 2.71
Co 0.0000 0.0000 0.5000  8 Co 2.33-2.39
Co 0.0000 0.5000 0.0000  8 Co 2.33-2.39
Co 0.0000 0.5000 0.5000  8 Co 2.33-2.39
Co 0.1145 0.6285 0.6285  7 Co 2.39-2.58, 3 Ni 2.48
Co 0.1400 0.1400 0.1400  6 Co 2.33-2.58, 3 Ni 2.48
Co 0.1400 0.1400 0.5800  6 Co 2.33-2.58, 3 Ni 2.48
Co 0.1400 0.5800 0.1400  6 Co 2.33-2.58, 3 Ni 2.48
Co 0.3715 0.3715 0.3715  7 Co 2.39-2.58, 3 Ni 2.48
Co 0.3715 0.3715 0.8855  7 Co 2.39-2.58, 3 Ni 2.48
Co 0.3715 0.8855 0.3715  7 Co 2.39-2.58, 3 Ni 2.48
Co 0.4200 0.8600 0.8600  6 Co 2.33-2.58, 3 Ni 2.48
Co 0.5000 0.0000 0.0000  8 Co 2.33-2.39
Co 0.5000 0.0000 0.5000  8 Co 2.33-2.39
Co 0.5000 0.5000 0.0000  8 Co 2.33-2.39
Co 0.5000 0.5000 0.5000  8 Co 2.48
Co 0.5800 0.1400 0.1400  6 Co 2.33-2.58, 3 Ni 2.48
Co 0.6285 0.1145 0.6285  7 Co 2.39-2.58, 3 Ni 2.48
Co 0.6285 0.6285 0.1145  7 Co 2.39-2.58, 3 Ni 2.48
Co 0.6285 0.6285 0.6285  7 Co 2.39-2.58, 3 Ni 2.48
Co 0.8600 0.4200 0.8600  6 Co 2.33-2.58, 3 Ni 2.48
Co 0.8600 0.8600 0.4200  6 Co 2.33-2.58, 3 Ni 2.48
Co 0.8600 0.8600 0.8600  6 Co 2.33-2.58, 3 Ni 2.48
Co 0.8855 0.3715 0.3715  7 Co 2.39-2.58, 3 Ni 2.48
Ni 0.2432 0.2432 0.7568  8 Co 2.48, 1 Ta 2.71
Ni 0.2432 0.7568 0.2432  8 Co 2.48, 1 Ta 2.71
Ni 0.2432 0.7568 0.7568  8 Co 2.48, 1 Ta 2.71
Ni 0.7568 0.2432 0.2432  8 Co 2.48, 1 Ta 2.71
Ni 0.7568 0.2432 0.7568  8 Co 2.48, 1 Ta 2.71
Ni 0.7568 0.7568 0.2432  8 Co 2.48, 1 Ta 2.71